Entry 1:
Computed, not measured: crystalline KRb2Cd at its relaxed geometry at the PBE-GGA level of DFT.

Cell: 9.7876 9.7876 9.7876 Å, 90.00 90.00 90.00°
Space group Fm-3m (No. 225)
Symmetry-distinct sites (fractional):
K  0.0000  0.0000  0.0000 x4
Rb  0.2500  0.2500  0.2500 x8
Cd  0.0000  0.0000  0.5000 x4

The calculated formation energy is 0.043 eV/atom. Its energy above the most stable polymorph in this dataset is 63 meV/atom. Its volume is 58.60 Å³ per atom. Its final energy is -15.1 eV/cell.

Entry 2:
Computed, not measured: crystalline K6Rb5Cd at its relaxed geometry at the PBE-GGA level of DFT.

Cell: 13.3383 21.5593 7.2882 Å, 90.00 122.73 90.00°
Space group C2/m (No. 12)
Symmetry-distinct sites (fractional):
K  0.1847  0.0000  0.1851 x4
K  0.2045  0.1378  0.7040 x8
Rb  0.0000  0.2019  0.0000 x4
Rb  0.0000  0.3458  0.5000 x4
Rb  0.0000  0.5000  0.0000 x2
Cd  0.0000  0.0000  0.5000 x2

The calculated formation energy is 0.014 eV/atom. Its volume is 73.46 Å³ per atom. Its final energy is -24.3 eV/cell.

Entry 3:
Computed, not measured: crystalline KRb2Cd2 at its relaxed geometry at the PBE-GGA level of DFT.

Cell: 14.4780 4.9494 7.3898 Å, 90.00 100.93 90.00°
Space group C2/m (No. 12)
Symmetry-distinct sites (fractional):
K  0.0000  0.0000  0.0000 x2
Rb  0.1438  0.5000  0.5703 x4
Cd  0.2183  0.5000  0.0833 x4

The calculated formation energy is -0.016 eV/atom. Its energy above the most stable polymorph in this dataset is 8 meV/atom. Its volume is 51.99 Å³ per atom. Its final energy is -9.9 eV/cell.

Entry 4:
Computed, not measured: crystalline KRb2Cd at its relaxed geometry at the PBE-GGA level of DFT.

Cell: 5.9535 5.9535 28.7831 Å, 90.00 90.00 90.00°
Space group I-42d (No. 122)
Symmetry-distinct sites (fractional):
K  0.0000  0.0000  0.0000 x4
Rb  0.2273  0.2500  0.6250 x8
Cd  0.0000  0.0000  0.5000 x4

The calculated formation energy is 0.121 eV/atom. Its energy above the most stable polymorph in this dataset is 142 meV/atom. Its volume is 63.76 Å³ per atom. Its final energy is -13.8 eV/cell.

Entry 5:
Computed, not measured: crystalline KRb6Cd2 at its relaxed geometry at the PBE-GGA level of DFT.

Cell: 12.7896 13.0868 14.2466 Å, 90.00 90.00 90.00°
Space group Immm (No. 71)
Symmetry-distinct sites (fractional):
K  0.0000  0.0000  0.0000 x2
K  0.0000  0.0000  0.5000 x2
Rb  0.0000  0.3055  0.1813 x8
Rb  0.1897  0.2889  0.5000 x8
Rb  0.2193  0.0000  0.2598 x8
Cd  0.0000  0.5000  0.3950 x4
Cd  0.1212  0.5000  0.0000 x4

The calculated formation energy is -0.011 eV/atom. Its volume is 66.24 Å³ per atom. Its final energy is -35.3 eV/cell.

Entry 6:
Computed, not measured: crystalline K17RbCd11 at its relaxed geometry at the PBE-GGA level of DFT.

Cell: 16.8654 19.6657 11.2696 Å, 90.00 129.92 90.00°
Space group Cm (No. 8)
Symmetry-distinct sites (fractional):
K  0.0000  0.0000  0.0000 x2
K  0.0010  0.3411  0.1450 x4
K  0.1548  0.5000  0.0889 x2
K  0.1568  0.2081  0.5686 x4
K  0.2188  0.2428  0.9837 x4
K  0.2843  0.0000  0.1677 x2
K  0.2983  0.0000  0.7767 x2
K  0.3499  0.3333  0.3863 x4
K  0.4160  0.3261  0.8071 x4
K  0.4605  0.1232  0.6237 x4
K  0.4831  0.5000  0.3649 x2
Rb  0.1557  0.5000  0.5428 x2
Cd  0.0909  0.0799  0.7627 x4
Cd  0.1618  0.1947  0.2302 x4
Cd  0.1912  0.0724  0.3923 x4
Cd  0.2723  0.4224  0.9397 x4
Cd  0.3895  0.5000  0.5796 x2
Cd  0.4669  0.3475  0.1734 x4

The calculated formation energy is -0.024 eV/atom. Its volume is 49.43 Å³ per atom. Its final energy is -60.8 eV/cell.